[1]
Density functional theory data (PBE) for an optimized crystal structure of Tl3Re.

V ... 96.8 Å³ per cell
D(E_F) ... 2.32 states/eV/f.u.
ΔE_f ... 0.81 eV per atom

a b c (Å): 3.133 3.133 9.859
angles (deg): 90.00 90.00 90.00
Positions (direct):
Tl: 0.000 0.000 0.500
Tl: 0.500 0.500 0.791
Tl: 0.500 0.500 0.209
Re: 0.000 0.000 0.000

[2]
Density functional theory data (PBE) for an optimized crystal structure of Cu2Sb2Se3.

Formation energy without anion corrections ... -40 meV per atom
V ... 162.1 Å³ per cell
D(E_F) ... 1.71 states/eV/f.u.

a b c (Å): 4.070 6.621 7.108
angles (deg): 116.68 106.64 90.00
Positions (direct):
Se: 0.789 0.282 0.578
Se: 0.000 0.000 0.000
Se: 0.211 0.718 0.422
Cu: 0.185 0.338 0.369
Cu: 0.815 0.662 0.631
Sb: 0.425 0.241 0.849
Sb: 0.575 0.759 0.151

[3]
Density functional theory data (PBE) for an optimized crystal structure of BaSbI3.

Formation energy without anion corrections ... -425 meV per atom
V ... 303.5 Å³ per cell
D(E_F) ... 13.52 states/eV/f.u.

a b c (Å): 6.720 6.720 6.720
angles (deg): 90.00 90.00 90.00
Positions (direct):
Sb: 0.500 0.500 0.500
Ba: 0.000 0.000 0.000
I: 0.000 0.000 0.500
I: 0.000 0.500 0.000
I: 0.500 0.000 0.000

[4]
Density functional theory data (PBE) for an optimized crystal structure of TbThIrAu.

V ... 97.1 Å³ per cell
D(E_F) ... 2.60 states/eV/f.u.
ΔE_f ... -0.92 eV per atom

a b c (Å): 3.957 4.183 6.192
angles (deg): 90.00 108.63 90.00
Positions (direct):
Au: 0.585 0.500 0.171
Ir: 0.398 0.000 0.795
Th: 0.868 0.500 0.735
Tb: 0.150 0.000 0.299

[5]
Density functional theory data (PBE) for an optimized crystal structure of TbPu2Mn3.

V ... 222.3 Å³ per cell
D(E_F) ... 8.42 states/eV/f.u.
ΔE_f ... 0.06 eV per atom

a b c (Å): 5.725 7.831 6.937
angles (deg): 124.36 114.37 90.00
Positions (direct):
Tb: 0.500 0.250 0.500
Tb: 0.500 0.750 0.500
Mn: 0.500 0.750 0.000
Mn: 0.000 0.250 0.000
Mn: 0.000 0.750 0.000
Mn: 0.000 0.500 0.500
Mn: 0.000 0.000 0.500
Mn: 0.500 0.250 0.000
Pu: 0.167 0.417 0.833
Pu: 0.833 0.583 0.167
Pu: 0.166 0.917 0.833
Pu: 0.834 0.083 0.167

[6]
Density functional theory data (PBE) for an optimized crystal structure of CaCrTe.

Formation energy without anion corrections ... -94 meV per atom
V ... 79.5 Å³ per cell
D(E_F) ... 2.46 states/eV/f.u.

a b c (Å): 6.105 6.105 6.105
angles (deg): 143.65 143.65 52.35
Positions (direct):
Cr: 0.301 0.301 0.000
Te: 0.697 0.697 0.000
Ca: 0.001 0.001 0.000

[7]
Density functional theory data (PBE) for an optimized crystal structure of TaNiPb2.

V ... 81.3 Å³ per cell
D(E_F) ... 2.17 states/eV/f.u.
ΔE_f ... 0.59 eV per atom

a b c (Å): 5.716 5.716 5.716
angles (deg): 138.46 138.46 60.20
Positions (direct):
Ni: 0.750 0.250 0.500
Pb: 0.000 0.000 0.000
Pb: 0.250 0.750 0.500
Ta: 0.500 0.500 0.000

[8]
Density functional theory data (PBE) for an optimized crystal structure of Ba2MgTe.

Formation energy without anion corrections ... -292 meV per atom
V ... 155.3 Å³ per cell
D(E_F) ... 5.24 states/eV/f.u.

a b c (Å): 6.034 6.034 6.034
angles (deg): 60.00 60.00 60.00
Positions (direct):
Ba: 0.000 0.000 0.000
Ba: 0.250 0.250 0.250
Mg: 0.500 0.500 0.500
Te: 0.750 0.750 0.750

Question: V of number 1 (Tl3Re)?
Answer: 96.8 Å³ per cell

Question: Look up the D(E_F) of the third one.
Answer: 13.52 states/eV/f.u.

Copy entry 2 word for word.
Density functional theory data (PBE) for an optimized crystal structure of Cu2Sb2Se3.

Formation energy without anion corrections ... -40 meV per atom
V ... 162.1 Å³ per cell
D(E_F) ... 1.71 states/eV/f.u.

a b c (Å): 4.070 6.621 7.108
angles (deg): 116.68 106.64 90.00
Positions (direct):
Se: 0.789 0.282 0.578
Se: 0.000 0.000 0.000
Se: 0.211 0.718 0.422
Cu: 0.185 0.338 0.369
Cu: 0.815 0.662 0.631
Sb: 0.425 0.241 0.849
Sb: 0.575 0.759 0.151